No. 1
AlAgSn | PBE | optimized geometry

## Properties
**Total energy**: -3.443 eV/atom

a = 5.7220 Å, b = 4.3631 Å, c = 10.3948 Å
α = 90.00°, β = 90.00°, γ = 90.00°
Positions (direct):
Al1 0.1013 0.2500 0.0671
Al2 0.3987 0.7500 0.5671
Al3 0.6013 0.2500 0.4329
Al4 0.8987 0.7500 0.9329
Ag1 0.0725 0.2500 0.8062
Ag2 0.4275 0.7500 0.3062
Ag3 0.5725 0.2500 0.6938
Ag4 0.9275 0.7500 0.1938
Sn1 0.0825 0.2500 0.3668
Sn2 0.4175 0.7500 0.8668
Sn3 0.5825 0.2500 0.1332
Sn4 0.9175 0.7500 0.6332



No. 2
La8GeAs3Br4 | PBE | optimized geometry

## Properties
**Raw formation energy**: -1.4686 eV per atom

a = 8.8683 Å, b = 8.8683 Å, c = 8.8683 Å
α = 59.14°, β = 59.14°, γ = 59.14°
Positions (direct):
La1 0.2390 0.2390 0.2390
La2 0.2397 0.7392 0.7392
La3 0.2608 0.2608 0.7603
La4 0.2608 0.7603 0.2608
La5 0.7392 0.2397 0.7392
La6 0.7392 0.7392 0.2397
La7 0.7603 0.2608 0.2608
La8 0.7610 0.7610 0.7610
Ge1 0.5000 0.5000 0.5000
As1 0.0000 0.0000 0.5000
As2 0.0000 0.5000 0.0000
As3 0.5000 0.0000 0.0000
Br1 0.0000 0.0000 0.0000
Br2 0.0000 0.5000 0.5000
Br3 0.5000 0.0000 0.5000
Br4 0.5000 0.5000 0.0000



No. 3
CeDy6Er2 | PBE | optimized geometry

## Properties
**Energy above the lowest structure with this stoichiometry**: 0 meV/atom

a = 5.6379 Å, b = 6.2222 Å, c = 16.4901 Å
α = 79.16°, β = 89.98°, γ = 90.00°
Positions (direct):
Ce1 0.2504 0.0600 0.2219
Ce2 0.7496 0.9400 0.7781
Dy1 0.2500 0.1683 0.0021
Dy2 0.2498 0.3898 0.5554
Dy3 0.2502 0.6122 0.1121
Dy4 0.2499 0.7227 0.8868
Dy5 0.2500 0.9480 0.4430
Dy6 0.2505 0.5017 0.3322
Dy7 0.7495 0.4983 0.6678
Dy8 0.7500 0.0520 0.5570
Dy9 0.7501 0.2773 0.1132
Dy10 0.7498 0.3878 0.8879
Dy11 0.7502 0.6102 0.4446
Dy12 0.7500 0.8317 0.9979
Er1 0.2495 0.2674 0.7780
Er2 0.2497 0.8321 0.6671
Er3 0.7503 0.1679 0.3329
Er4 0.7505 0.7326 0.2220



No. 4
ZrSi2Tc2 | PBE | optimized geometry

## Properties
**Raw formation energy**: -0.5033 eV per atom
**Energy above the lowest structure with this stoichiometry**: 0 meV/atom

a = 7.0796 Å, b = 7.0796 Å, c = 3.0167 Å
α = 90.00°, β = 90.00°, γ = 90.00°
Positions (direct):
Zr1 0.0000 0.0000 0.0000
Zr2 0.5000 0.5000 0.0000
Si1 0.1352 0.3648 0.0000
Si2 0.3648 0.8648 0.0000
Si3 0.6352 0.1352 0.0000
Si4 0.8648 0.6352 0.0000
Tc1 0.1529 0.6529 0.5000
Tc2 0.3471 0.1529 0.5000
Tc3 0.6529 0.8471 0.5000
Tc4 0.8471 0.3471 0.5000



No. 5
ZrMnNb2Pt | PBE | optimized geometry

## Properties
**Total energy**: -8.365 eV/atom

a = 4.5235 Å, b = 4.5235 Å, c = 4.7394 Å
α = 90.00°, β = 90.00°, γ = 90.00°
Positions (direct):
Zr1 0.0000 0.0000 0.0000
Mn1 0.5000 0.5000 0.5000
Nb1 0.0000 0.5000 0.5000
Nb2 0.5000 0.0000 0.5000
Pt1 0.5000 0.5000 0.0000



No. 6
ErNbOsRu | PBE | optimized geometry

## Properties
**Energy above the lowest structure with this stoichiometry**: 38 meV/atom

a = 4.6188 Å, b = 4.6188 Å, c = 4.6188 Å
α = 60.00°, β = 60.00°, γ = 60.00°
Positions (direct):
Er1 0.0000 0.0000 0.0000
Nb1 0.5000 0.5000 0.5000
Os1 0.2500 0.2500 0.2500
Ru1 0.7500 0.7500 0.7500



No. 7
Be2OsRu | PBE | optimized geometry

## Properties
**Energy above the lowest structure with this stoichiometry**: 273 meV/atom

a = 4.2707 Å, b = 4.2707 Å, c = 4.2707 Å
α = 127.97°, β = 127.97°, γ = 76.68°
Positions (direct):
Be1 0.0000 0.0000 0.0000
Be2 0.7500 0.2500 0.5000
Os1 0.2500 0.7500 0.5000
Ru1 0.5000 0.5000 0.0000



No. 8
TlZn13 | PBE | optimized geometry

## Properties
**Total energy**: -1.338 eV/atom

a = 8.7223 Å, b = 8.7223 Å, c = 8.7223 Å
α = 60.00°, β = 60.00°, γ = 60.00°
Positions (direct):
Tl1 0.2500 0.2500 0.2500
Tl2 0.7500 0.7500 0.7500
Zn1 0.0000 0.0000 0.0000
Zn2 0.0615 0.3001 0.6999
Zn3 0.0615 0.6999 0.9385
Zn4 0.0615 0.9385 0.3001
Zn5 0.1999 0.4385 0.8001
Zn6 0.1999 0.5615 0.4385
Zn7 0.1999 0.8001 0.5615
Zn8 0.3001 0.0615 0.9385
Zn9 0.3001 0.6999 0.0615
Zn10 0.3001 0.9385 0.6999
Zn11 0.4385 0.1999 0.5615
Zn12 0.4385 0.5615 0.8001
Zn13 0.4385 0.8001 0.1999
Zn14 0.5000 0.5000 0.5000
Zn15 0.5615 0.1999 0.8001
Zn16 0.5615 0.4385 0.1999
Zn17 0.5615 0.8001 0.4385
Zn18 0.6999 0.0615 0.3001
Zn19 0.6999 0.3001 0.9385
Zn20 0.6999 0.9385 0.0615
Zn21 0.8001 0.1999 0.4385
Zn22 0.8001 0.4385 0.5615
Zn23 0.8001 0.5615 0.1999
Zn24 0.9385 0.0615 0.6999
Zn25 0.9385 0.3001 0.0615
Zn26 0.9385 0.6999 0.3001